(1)
First-principles (PBE) data for crystalline CePrGdY at its relaxed geometry, as listed in Alexandria via LeMat-Bulk.

Properties
Crystal system: cubic
E_tot: -122.29 eV per cell

a = 8.1312 Å, b = 8.1312 Å, c = 8.1312 Å
α = 90.00°, β = 90.00°, γ = 90.00°
Last column: nearest neighbours and their distance in Å.
Space group F-43m (No. 216)
One atom of each set of equivalent atoms:
Ce 0.0000 0.0000 0.0000  4 Pr 3.52, 4 Gd 3.52
Pr 0.2500 0.2500 0.2500  4 Y 3.52, 4 Ce 3.52
Gd 0.2500 0.2500 0.7500  4 Ce 3.52, 4 Y 3.52
Y 0.0000 0.0000 0.5000  4 Gd 3.52, 4 Pr 3.52

***

(2)
First-principles (PBE) data for crystalline CePrGdZn at its relaxed geometry, as listed in Alexandria via LeMat-Bulk.

Properties
Crystal system: cubic
E_tot: -102.78 eV per cell

a = 7.5724 Å, b = 7.5724 Å, c = 7.5724 Å
α = 90.00°, β = 90.00°, γ = 90.00°
Last column: nearest neighbours and their distance in Å.
Space group F-43m (No. 216)
One atom of each set of equivalent atoms:
Ce 0.0000 0.0000 0.0000  4 Gd 3.28, 4 Pr 3.28
Pr 0.2500 0.2500 0.7500  4 Ce 3.28, 4 Zn 3.28
Gd 0.2500 0.2500 0.2500  4 Ce 3.28, 4 Zn 3.28
Zn 0.0000 0.0000 0.5000  4 Gd 3.28, 4 Pr 3.28

***

(3)
First-principles (PBE) data for crystalline CeGd2Pt at its relaxed geometry, as listed in Alexandria via LeMat-Bulk.

Properties
Offset from the most stable computed form: 0.0 meV/atom
Crystal system: tetragonal

a = 3.5616 Å, b = 3.5616 Å, c = 8.4132 Å
α = 90.00°, β = 90.00°, γ = 90.00°
Last column: nearest neighbours and their distance in Å.
Space group P4/mmm (No. 123)
One atom of each set of equivalent atoms:
Ce 0.0000 0.0000 0.0000  4 Ce 3.56, 8 Gd 3.57
Gd 0.5000 0.5000 0.3005  4 Pt 3.03, 1 Gd 3.36
Pt 0.0000 0.0000 0.5000  8 Gd 3.03

***

(4)
First-principles (PBE) data for crystalline Ce2GdPt at its relaxed geometry, as listed in Alexandria via LeMat-Bulk.

Properties
Crystal system: tetragonal
E_tot: -33.76 eV per cell

a = 3.7409 Å, b = 3.7409 Å, c = 7.6420 Å
α = 90.00°, β = 90.00°, γ = 90.00°
Last column: nearest neighbours and their distance in Å.
Space group P4/mmm (No. 123)
One atom of each set of equivalent atoms:
Ce 0.0000 0.0000 0.1953  1 Ce 2.98, 4 Pt 3.04
Gd 0.5000 0.5000 0.5000  8 Ce 3.52, 4 Gd 3.74, 2 Pt 3.82
Pt 0.5000 0.5000 0.0000  8 Ce 3.04

***

(5)
First-principles (PBE) data for crystalline CeGd2Pt at its relaxed geometry, as listed in Alexandria via LeMat-Bulk.

Properties
Offset from the most stable computed form: 194.1 meV/atom
Crystal system: cubic

a = 7.2353 Å, b = 7.2353 Å, c = 7.2353 Å
α = 90.00°, β = 90.00°, γ = 90.00°
Last column: nearest neighbours and their distance in Å.
Space group Fm-3m (No. 225)
One atom of each set of equivalent atoms:
Ce 0.0000 0.0000 0.0000  8 Gd 3.13
Gd 0.2500 0.2500 0.2500  4 Ce 3.13, 4 Pt 3.13
Pt 0.0000 0.0000 0.5000  8 Gd 3.13

***

(6)
First-principles (PBE) data for crystalline CeGdPt4 at its relaxed geometry, as listed in Alexandria via LeMat-Bulk.

Properties
Crystal system: cubic
E_tot: -202.29 eV per cell

a = 7.7448 Å, b = 7.7448 Å, c = 7.7448 Å
α = 90.00°, β = 90.00°, γ = 90.00°
Last column: nearest neighbours and their distance in Å.
Space group F-43m (No. 216)
One atom of each set of equivalent atoms:
Ce 0.0000 0.0000 0.0000  12 Pt 3.21, 4 Gd 3.35
Gd 0.2500 0.2500 0.2500  12 Pt 3.21, 4 Ce 3.35
Pt 0.1248 0.1248 0.6248  6 Pt 2.73-2.74